1) The following is a DFT calculation (PBE) of a relaxed structure of LiLaSc3.

POSCAR file:
```
LiLaSc3
1.0
-5.084 -0.476 -0.160
0.443 -5.017 0.858
-0.237 0.840 5.034
La Li Sc
1 1 3
direct
0.500 0.500 0.500
0.000 0.000 0.000
0.000 0.000 0.500
0.500 0.000 0.000
0.000 0.500 0.000
```

* density: 3.50 g/cm³

***

2) The following is a DFT calculation (PBE) of a relaxed structure of LiLaSc3.

POSCAR file:
```
LiLaSc3
1.0
5.344 0.000 0.000
0.000 5.344 0.000
0.000 0.000 5.344
Sc La Li
3 1 1
direct
0.000 0.500 0.000
0.500 0.000 0.000
0.000 0.000 0.500
0.000 0.000 0.000
0.500 0.500 0.500
```

* density: 3.05 g/cm³

***

Stability, lowest: 2)

***

1) The following is a DFT calculation (PBE) of a relaxed structure of LiLa3Se4.

POSCAR file:
```
LiLa3Se4
1.0
-1.786 -0.387 5.764
-5.238 -2.438 -1.787
2.438 -5.520 0.384
La Se Li
3 4 1
direct
0.000 0.500 0.500
0.500 0.500 0.000
0.500 0.000 0.500
0.500 0.500 0.500
0.000 0.500 0.000
0.000 0.000 0.500
0.500 0.000 0.000
0.000 0.000 0.000
```

* density: 5.55 g/cm³

***

2) The following is a DFT calculation (PBE) of a relaxed structure of LiLa3Se4.

POSCAR file:
```
LiLa3Se4
1.0
4.280 0.000 0.000
0.000 7.382 -0.078
0.000 -2.401 6.981
La Se Li
3 4 1
direct
0.000 0.000 0.500
0.000 0.500 0.000
0.500 0.500 0.500
0.500 0.757 0.243
0.000 0.241 0.241
0.500 0.243 0.757
0.000 0.759 0.759
0.500 0.000 0.000
```

* density: 5.59 g/cm³

***

Stability, lowest: 2)

***

1) The following is a DFT calculation (PBE) of a relaxed structure of Li2LaSe2.

POSCAR file:
```
Li2LaSe2
1.0
7.889 0.000 0.000
0.000 7.889 0.000
0.000 0.000 3.822
Se Li La
4 4 2
direct
0.168 0.332 0.000
0.332 0.832 0.000
0.668 0.168 0.000
0.832 0.668 0.000
0.368 0.132 0.500
0.868 0.368 0.500
0.132 0.632 0.500
0.632 0.868 0.500
0.500 0.500 0.000
0.000 0.000 0.000
```

* density: 4.34 g/cm³

***

2) The following is a DFT calculation (PBE) of a relaxed structure of Li2LaSe2.

POSCAR file:
```
Li2LaSe2
1.0
3.892 0.000 0.000
0.000 3.892 0.000
1.946 1.946 6.704
Se La Li
2 1 2
direct
0.373 0.373 0.254
0.627 0.627 0.746
0.000 0.000 0.000
0.250 0.750 0.500
0.750 0.250 0.500
```

* density: 5.08 g/cm³

***

3) The following is a DFT calculation (PBE) of a relaxed structure of Li2LaSe2.

POSCAR file:
```
Li2LaSe2
1.0
4.177 0.000 0.000
2.089 3.617 0.000
2.089 1.206 7.989
Se Li La
2 2 1
direct
0.586 0.586 0.242
0.414 0.414 0.758
0.777 0.777 0.669
0.223 0.223 0.331
0.000 0.000 0.000
```

* density: 4.27 g/cm³

***

Stability, lowest: 1)

***

1) The following is a DFT calculation (PBE) of a relaxed structure of LiLaSe.

POSCAR file:
```
LiLaSe
1.0
5.007 0.000 0.000
2.503 4.336 0.000
2.503 1.445 4.088
La Li Se
1 1 1
direct
0.750 0.750 0.750
0.000 0.000 0.000
0.500 0.500 0.500
```

* density: 4.21 g/cm³

***

2) The following is a DFT calculation (PBE) of a relaxed structure of LiLaSe.

POSCAR file:
```
LiLaSe
1.0
-0.089 -5.810 -0.781
1.858 -4.325 -3.489
3.051 -1.391 1.445
Li La Se
1 1 1
direct
0.291 0.291 0.709
0.007 0.007 0.993
0.702 0.702 0.298
```

* density: 5.32 g/cm³

***

3) The following is a DFT calculation (PBE) of a relaxed structure of LiLaSe.

POSCAR file:
```
LiLaSe
1.0
-1.226 -0.560 -6.522
6.343 -0.386 -3.788
1.059 -6.974 -2.229
Se Li La
4 4 4
direct
0.814 0.799 0.549
0.186 0.201 0.451
0.814 0.299 0.049
0.186 0.701 0.951
0.391 0.441 0.191
0.609 0.559 0.809
0.609 0.059 0.309
0.391 0.941 0.691
0.816 0.047 0.797
0.184 0.453 0.703
0.816 0.547 0.297
0.184 0.953 0.203
```

* density: 4.79 g/cm³

***

Stability, lowest: 1)

***

1) The following is a DFT calculation (PBE) of a relaxed structure of LiLaSe.

POSCAR file:
```
LiLaSe
1.0
4.225 0.000 0.000
-2.113 3.659 0.000
0.000 0.000 4.308
La Li Se
1 1 1
direct
0.000 0.000 0.000
0.667 0.333 0.501
0.333 0.667 0.500
```

* density: 5.61 g/cm³

***

2) The following is a DFT calculation (PBE) of a relaxed structure of LiLaSe.

POSCAR file:
```
LiLaSe
1.0
4.837 0.000 0.000
2.419 4.189 0.000
2.419 1.396 3.950
Li Se La
1 1 1
direct
0.500 0.500 0.500
0.750 0.750 0.750
0.000 0.000 0.000
```

* density: 4.66 g/cm³

***

Stability, lowest: 2)

***

1) The following is a DFT calculation (PBE) of a relaxed structure of LiLaSe3.

POSCAR file:
```
LiLaSe3
1.0
4.810 0.000 0.000
0.000 4.810 0.000
0.000 0.000 4.810
Li Se La
1 3 1
direct
0.000 0.000 0.000
0.500 0.000 0.000
0.000 0.000 0.500
0.000 0.500 0.000
0.500 0.500 0.500
```

* density: 5.71 g/cm³

***

2) The following is a DFT calculation (PBE) of a relaxed structure of LiLaSe3.

POSCAR file:
```
LiLaSe3
1.0
-5.101 0.836 -2.609
-2.724 -0.962 5.018
0.291 5.648 1.241
Se La Li
3 1 1
direct
0.000 0.000 0.500
0.000 0.500 0.000
0.500 0.000 0.000
0.000 0.000 0.000
0.500 0.500 0.500
```

* density: 3.27 g/cm³

***

Stability, lowest: 2)